No. 1
Material: YHg
Method: DFT, PBE
State: relaxed

Cell: 12.4221 5.2668 6.3445 Å, 90.00 90.00 90.00°
Atoms (fractional coordinates):
Hg  0.3100  0.2500  0.4409
Hg  0.1900  0.7500  0.9409
Y  0.4558  0.7500  0.6794
Hg  0.4200  0.7500  0.1757
Y  0.3126  0.2500  0.9436
Y  0.5442  0.2500  0.3206
Y  0.1874  0.7500  0.4436
Y  0.0442  0.2500  0.1794
Y  0.8126  0.2500  0.5564
Hg  0.5800  0.2500  0.8243
Hg  0.0800  0.2500  0.6757
Y  0.6874  0.7500  0.0564
Hg  0.9200  0.7500  0.3243
Hg  0.8100  0.2500  0.0591
Hg  0.6900  0.7500  0.5591
Y  0.9558  0.7500  0.8206

## Properties
The calculation puts the formation energy at -0.4631 eV/atom. The calculation puts the size of the total moment at 0.000 Bohr magnetons per cell.

***

No. 2
Material: Ac3ScPt2O9
Method: DFT, PBE
State: relaxed

Cell: 5.8467 5.8467 7.1317 Å, 90.00 90.00 120.00°
Atoms (fractional coordinates):
Sc  0.0000  0.0000  0.5000
Ac  0.0000  0.0000  0.0000
O  0.1630  0.8370  0.3323
O  0.1630  0.3260  0.3323
O  0.0000  0.5000  0.0000
Ac  0.3333  0.6667  0.6805
O  0.6740  0.8370  0.3323
Ac  0.6667  0.3333  0.3195
O  0.3260  0.1630  0.6677
O  0.8370  0.6740  0.6677
O  0.8370  0.1630  0.6677
Pt  0.3333  0.6667  0.1726
O  0.5000  0.0000  0.0000
O  0.5000  0.5000  0.0000
Pt  0.6667  0.3333  0.8274

## Properties
The calculation puts the size of the total moment at 0.003 Bohr magnetons per cell. Its formation energy (no corrections) is -2258 meV per atom.

***

No. 3
Material: MgRhBr
Method: DFT, PBE
State: relaxed

Cell: 3.9600 3.8198 9.5973 Å, 90.04 102.01 90.00°
Atoms (fractional coordinates):
Mg  0.4408  0.0947  0.0625
Br  0.1554  0.5958  0.4874
Rh  0.9510  0.5948  0.0825
Rh  0.0502  0.0952  0.2787
Mg  0.5603  0.5952  0.2985
Br  0.8458  0.0945  0.8738

## Properties
The calculation puts the size of the total moment at 0.000 Bohr magnetons per cell. The calculation puts the energy above the most stable polymorph in this dataset at 0 meV/atom. Its formation energy (no corrections) is -547 meV per atom.

***

No. 4
Material: AlTcRu2
Method: DFT, PBE
State: relaxed

Cell: 2.8956 4.4967 4.3543 Å, 90.00 90.00 90.00°
Atoms (fractional coordinates):
Ru  0.0000  0.0000  0.0000
Tc  0.5000  0.0000  0.5000
Al  0.0000  0.5000  0.5000
Ru  0.5000  0.5000  0.0000

## Properties
The calculation puts the formation energy at -0.0486 eV/atom. The calculation puts the size of the total moment at 0.000 Bohr magnetons per cell. The calculation puts the energy above the most stable polymorph in this dataset at 256 meV/atom.

***

No. 5
Material: CeDy3Ho2Te6
Method: DFT, PBE
State: relaxed

Cell: 4.3429 8.8006 9.7730 Å, 103.01 102.84 90.00°
Site moments in Bohr magnetons follow the coordinates.
Atoms (fractional coordinates):
Te  0.3313  0.4183  0.6626  0.00
Te  0.6687  0.5817  0.3374  0.00
Ho  0.1635  0.3276  0.3271  0.02
Ho  0.8365  0.6724  0.6729  0.02
Ce  0.5000  0.0000  0.0000  0.95
Dy  0.8368  0.1669  0.6737  0.01
Te  0.0007  0.2583  0.0014  -0.01
Dy  0.5000  0.5000  0.0000  0.01
Dy  0.1632  0.8331  0.3263  0.01
Te  0.3290  0.9143  0.6580  0.00
Te  0.9993  0.7417  0.9986  -0.01
Te  0.6710  0.0857  0.3420  0.00

## Properties
The calculation puts the size of the total moment at 1.305 Bohr magnetons per cell. Its formation energy (no corrections) is -1286 meV per atom.

***

No. 6
Material: Th2MgMo
Method: DFT, PBE
State: relaxed

Cell: 3.5981 3.5981 8.1520 Å, 90.00 90.00 90.00°
Atoms (fractional coordinates):
Th  0.0000  0.0000  0.7850
Mo  0.5000  0.5000  0.0000
Mg  0.5000  0.5000  0.5000
Th  0.0000  0.0000  0.2150

## Properties
The calculation puts the formation energy at 0.1425 eV/atom. The calculation puts the size of the total moment at 0.000 Bohr magnetons per cell. The calculation puts the energy above the most stable polymorph in this dataset at 0 meV/atom.

***

No. 7
Material: InTe8P5
Method: DFT, PBE
State: relaxed

Cell: 6.8890 6.8890 9.0055 Å, 90.00 90.00 90.00°
Atoms (fractional coordinates):
P  0.0000  0.5000  0.7632
Te  0.2399  0.2399  0.1201
P  0.0000  0.5000  0.2368
Te  0.7601  0.7601  0.1201
Te  0.7378  0.7378  0.6476
Te  0.7378  0.2622  0.3524
Te  0.7601  0.2399  0.8799
P  0.5000  0.5000  0.0000
Te  0.2622  0.2622  0.6476
P  0.5000  0.0000  0.2368
Te  0.2622  0.7378  0.3524
In  0.0000  0.0000  0.5000
Te  0.2399  0.7601  0.8799
P  0.5000  0.0000  0.7632

## Properties
The calculation puts the size of the total moment at 0.000 Bohr magnetons per cell. Its formation energy (no corrections) is 248 meV per atom.

***

No. 8
Material: BaTlSi
Method: DFT, PBE
State: relaxed

Cell: 5.4269 5.4269 5.4269 Å, 60.00 60.00 60.00°
Atoms (fractional coordinates):
Tl  0.5000  0.5000  0.5000
Si  0.0000  0.0000  0.0000
Ba  0.7500  0.7500  0.7500

## Properties
The calculation puts the size of the total moment at 0.001 Bohr magnetons per cell. The calculation puts the energy above the most stable polymorph in this dataset at 678 meV/atom. Its formation energy (no corrections) is 356 meV per atom.

***

Q: Look up the size of the total moment of the first one.
A: 0.000 Bohr magnetons per cell

***

Copy entry 8 word for word.
Material: BaTlSi
Method: DFT, PBE
State: relaxed

Cell: 5.4269 5.4269 5.4269 Å, 60.00 60.00 60.00°
Atoms (fractional coordinates):
Tl  0.5000  0.5000  0.5000
Si  0.0000  0.0000  0.0000
Ba  0.7500  0.7500  0.7500

## Properties
The calculation puts the size of the total moment at 0.001 Bohr magnetons per cell. The calculation puts the energy above the most stable polymorph in this dataset at 678 meV/atom. Its formation energy (no corrections) is 356 meV per atom.

***

Q: Which formula does entry 2 have?
A: Ac3ScPt2O9

***

Q: The highest size of the total moment belongs to which entry?
A: CeDy3Ho2Te6